No. 1
Material: Li3CaAu2
Method: DFT, GGA-PBE
State: relaxed

Cell and atoms, written as extended XYZ:
```
12
Lattice="4.1979 0.0000 0.0000 -2.0989 6.9741 -0.9571 0.0000 -4.0828 8.4124" Properties=species:S:1:pos:R:3 pbc="T T T"
Au 2.0989 0.2399 1.7320
Au 0.0000 -0.2811 5.8332
Au 2.0989 3.1724 1.6221
Au 0.0000 2.6514 5.7233
Li 2.0989 3.7004 4.1883
Li 2.0989 -1.7864 5.7008
Li 0.0000 2.0218 3.0056
Li 0.0000 -0.8091 3.2670
Li 2.0989 0.8695 4.4497
Li 0.0000 4.6777 1.7545
Ca 2.0989 1.1243 7.6463
Ca 0.0000 1.7669 -0.1910
```

Calculated values
DOS(E_F)	1.91	states/eV/f.u.
energy of formation	-515.8	meV/atom
SG	No. 12

No. 2
Material: Li6Ca3Au5
Method: DFT, GGA-PBE
State: relaxed

Cell and atoms, written as extended XYZ:
```
28
Lattice="-4.2244 -0.1585 -0.4125 -0.0526 -9.3728 4.1385 -1.3598 5.2635 11.9032" Properties=species:S:1:pos:R:3 pbc="T T T"
Au -0.9398 -4.4948 11.3498
Au -2.8026 0.6800 6.5722
Au -0.5094 -6.1607 7.5823
Au -0.0421 -7.5003 3.3117
Au -2.6581 -2.3482 6.2552
Au -1.2303 -0.4325 12.7642
Au -2.3353 -0.6596 2.3015
Au -0.1866 -4.4721 3.6287
Au -3.2648 2.9379 10.4372
Au -2.9743 -1.1243 9.0229
Li -2.1419 -5.3781 2.1335
Li -3.2431 0.3137 11.2228
Li -0.7028 -1.4422 7.7504
Li -0.2644 -8.4428 5.9499
Li -0.4597 -3.8127 6.1724
Li -1.1994 -4.8234 14.1350
Li -3.0051 3.2665 7.6521
Li -2.1636 -9.2389 3.8382
Li -2.3850 -3.0076 3.7115
Li -0.9615 -1.8706 10.5643
Li -2.5804 1.6224 3.9340
Li -0.6811 2.4186 6.0457
Ca -2.4065 -6.1386 5.1346
Ca -0.4382 -0.6818 4.7493
Ca -0.0141 -2.5222 1.1137
Ca -2.8306 -4.2981 8.7702
Ca -0.9477 1.2904 9.2092
Ca -3.2568 -2.8472 12.5778
```

Calculated values
DOS(E_F)	6.84	states/eV/f.u.
energy of formation	-547.9	meV/atom
SG	No. 59

No. 3
Material: Li4Ca3Au2
Method: DFT, GGA-PBE
State: relaxed

Cell and atoms, written as extended XYZ:
```
9
Lattice="4.2251 0.0003 1.1905 1.5708 6.0398 2.5164 -0.2257 0.6318 8.8935" Properties=species:S:1:pos:R:3 pbc="T T T"
Li 1.8819 2.2061 1.4133
Li 4.4257 3.7623 8.5705
Li 3.6884 4.4658 11.1871
Li 1.1446 2.9096 4.0298
Ca 2.8630 5.4515 6.0235
Ca 0.0000 0.0000 0.0000
Ca 2.7073 1.2204 6.5769
Au 2.0367 5.0920 8.9558
Au 3.5335 1.5799 3.6446
```

Calculated values
DOS(E_F)	4.91	states/eV/f.u.
energy of formation	-383.1	meV/atom
SG	No. 12

No. 4
Material: LiCa2Au2
Method: DFT, GGA-PBE
State: relaxed

Cell and atoms, written as extended XYZ:
```
5
Lattice="5.0415 0.0000 0.0000 0.0000 5.0415 0.0000 2.5208 2.5208 5.7606" Properties=species:S:1:pos:R:3 pbc="T T T"
Au 2.5208 2.5208 1.3381
Au 5.0415 5.0415 4.4225
Li 0.0000 0.0000 0.0000
Ca 2.5208 5.0415 2.8803
Ca 5.0415 2.5208 2.8803
```

Calculated values
DOS(E_F)	2.76	states/eV/f.u.
energy of formation	-408.6	meV/atom
SG	No. 139

No. 5
Material: Li2Ca3Au5
Method: DFT, GGA-PBE
State: relaxed

Cell and atoms, written as extended XYZ:
```
20
Lattice="-3.1286 0.4091 -1.9928 0.0241 -10.3676 -2.1661 -5.7736 -1.8288 8.6891" Properties=species:S:1:pos:R:3 pbc="T T T"
Li -5.0721 -8.0281 6.3150
Li -3.5706 -2.3649 5.1203
Li -2.1790 -9.8315 1.4027
Li -0.6775 -4.1683 0.2080
Au -4.8169 -3.7614 3.2960
Au -6.9465 -9.6235 5.4361
Au -4.0613 -8.0259 1.2343
Au -6.0832 -1.8963 5.6669
Au -1.5523 -4.9792 -2.0794
Au -2.7950 -9.8910 -1.1367
Au -3.1875 -4.8277 0.5189
Au -1.9317 -2.1638 -0.9058
Au -4.4511 -0.7098 3.3482
Au -5.6907 -6.9596 4.0113
Ca 0.0000 0.0000 0.0000
Ca -2.8748 -6.0982 3.2615
Ca -1.0126 -7.3574 0.0795
Ca -4.7369 -4.8390 6.4435
Ca -1.8536 -2.4362 2.4100
Ca -3.8960 -9.7602 4.1130
```

Calculated values
DOS(E_F)	4.15	states/eV/f.u.
energy of formation	-658.7	meV/atom
SG	No. 127

No. 6
Material: LiCa4Au4
Method: DFT, GGA-PBE
State: relaxed

Cell and atoms, written as extended XYZ:
```
9
Lattice="8.1969 -0.2543 -2.4485 -4.8819 5.6125 -1.9649 -0.2326 -1.0459 5.7419" Properties=species:S:1:pos:R:3 pbc="T T T"
Ca 5.0420 2.9217 -3.2373
Ca -0.4454 5.3870 -3.1803
Ca 1.7346 1.2738 0.4674
Ca -0.6189 0.3607 3.4297
Li 2.2299 3.8324 1.4653
Au 4.3589 3.1195 -0.1647
Au -1.2317 1.8734 0.9315
Au 0.0655 4.1316 -0.4056
Au 2.1848 3.0365 -2.2593
```

Calculated values
DOS(E_F)	5.34	states/eV/f.u.
energy of formation	-617.2	meV/atom
SG	No. 1

In eV per formula unit, the raw total energy values for the records above are, in order, -17.392, -41.545, -23.663, -14.515, -32.806, -28.585.